# 1
First-principles (PBE) data for crystalline CdGeNO at its relaxed geometry, as listed in OQMD via LeMat-Bulk.

a = 5.479 Å, b = 8.114 Å, c = 5.056 Å
α = 90.00°, β = 90.00°, γ = 90.00°
Positions (direct):
Cd 0.940 0.398 0.506
Cd 0.060 0.602 0.006
Cd 0.560 0.398 0.006
Cd 0.440 0.602 0.506
O 0.057 0.721 0.587
O 0.443 0.721 0.087
O 0.557 0.279 0.587
O 0.943 0.279 0.087
Ge 0.079 0.096 0.989
Ge 0.579 0.904 0.989
Ge 0.421 0.096 0.489
Ge 0.921 0.904 0.489
N 0.602 0.915 0.620
N 0.102 0.085 0.620
N 0.398 0.085 0.120
N 0.898 0.915 0.120

* relative energy among the computed polymorphs: 0.0 meV per atom



# 2
First-principles (PBE) data for crystalline CdGeNO at its relaxed geometry, as listed in OQMD via LeMat-Bulk.

a = 4.562 Å, b = 4.562 Å, c = 4.758 Å
α = 90.00°, β = 90.00°, γ = 90.00°
Positions (direct):
Cd 0.750 0.750 0.999
Cd 0.250 0.250 0.001
O 0.250 0.750 0.000
O 0.750 0.250 0.000
Ge 0.250 0.750 0.500
Ge 0.750 0.250 0.500
N 0.750 0.750 0.500
N 0.250 0.250 0.500

* relative energy among the computed polymorphs: 374.7 meV per atom



# 3
First-principles (PBE) data for crystalline CdGeNO at its relaxed geometry, as listed in OQMD via LeMat-Bulk.

a = 3.645 Å, b = 5.350 Å, c = 5.837 Å
α = 90.00°, β = 90.00°, γ = 90.00°
Positions (direct):
Ge 0.000 0.495 0.335
Ge 0.000 0.995 0.665
Cd 0.500 0.488 0.819
Cd 0.500 0.988 0.181
O 0.500 0.422 0.208
O 0.500 0.922 0.792
N 0.000 0.849 0.370
N 0.000 0.349 0.630

* relative energy among the computed polymorphs: 75.6 meV per atom



# 4
First-principles (PBE) data for crystalline CdGeNO at its relaxed geometry, as listed in OQMD via LeMat-Bulk.

a = 3.925 Å, b = 3.925 Å, c = 7.780 Å
α = 90.00°, β = 90.00°, γ = 90.00°
Positions (direct):
N 0.000 0.500 0.646
N 0.500 0.000 0.354
O 0.500 0.500 0.000
O 0.000 0.000 0.000
Ge 0.500 0.000 0.885
Ge 0.000 0.500 0.115
Cd 0.500 0.500 0.500
Cd 0.000 0.000 0.500

* relative energy among the computed polymorphs: 778.0 meV per atom



no.,calculated density (Mg/m³)
1,6.4
2,7.2
3,6.3
4,6.0